(1)
# CsAgHg2Te PBE optimized geometry
data_CsAgHg2Te
_cell_length_a 5.728
_cell_length_b 5.728
_cell_length_c 5.658
_cell_angle_alpha 90.00
_cell_angle_beta 90.00
_cell_angle_gamma 90.00
_space_group_name_H-M_alt 'P 4/m m m'
_space_group_IT_number 123
_space_group_name_Hall '-P 4 2'
loop_
_atom_site_label
_atom_site_fract_x
_atom_site_fract_y
_atom_site_fract_z
Cs1 0.000 0.000 0.000
Ag1 0.500 0.500 0.500
Hg1 0.000 0.500 0.500
Te1 0.500 0.500 0.000
# * V: 37.13 A^3/atom
# * spin magnetization: 0.00 μB per cell

(2)
# VCu23Pd6 PBE optimized geometry
data_VCu23Pd6
_cell_length_a 11.646
_cell_length_b 11.646
_cell_length_c 11.646
_cell_angle_alpha 90.00
_cell_angle_beta 90.00
_cell_angle_gamma 90.00
_space_group_name_H-M_alt 'F m -3 m'
_space_group_IT_number 225
_space_group_name_Hall '-F 4 2 3'
loop_
_atom_site_label
_atom_site_fract_x
_atom_site_fract_y
_atom_site_fract_z
V1 0.000 0.000 0.000
Cu1 0.000 0.000 0.500
Cu2 0.000 0.250 0.250
Cu3 0.130 0.130 0.370
Cu4 0.140 0.140 0.140
Pd1 0.000 0.000 0.244
# * V: 13.16 A^3/atom
# * spin magnetization: 10.21 μB per cell
# * energy of formation: 0.014 eV per atom

(3)
# Ac2GeSe PBE optimized geometry
data_Ac2GeSe
_cell_length_a 4.5780
_cell_length_b 4.5780
_cell_length_c 22.3192
_cell_angle_alpha 90.00
_cell_angle_beta 90.00
_cell_angle_gamma 120.00
_space_group_name_H-M_alt 'R -3 m'
_space_group_IT_number 166
_space_group_name_Hall '-R 3 2"'
loop_
_atom_site_label
_atom_site_fract_x
_atom_site_fract_y
_atom_site_fract_z
Ac1 0.0000 0.0000 0.2461
Ge1 0.0000 0.0000 0.5000
Se1 0.0000 0.0000 0.0000
# * V: 33.76 A^3/atom
# * spin magnetization: 0.00 μB per cell
# * energy above the most stable polymorph in this dataset: 26 meV/atom

| no. | calculated total energy (eV/cell) |
| --- | --- |
| 1 | -8.98 |
| 2 | -536.25 |
| 3 | -65.26 |